[1]
Nd2Ho3Tm3: optimized geometry, PBE-GGA.

Cell lengths 6.3688, 6.3688, 6.3688 Å; angles 89.97, 89.97, 89.97 degrees
Closest atoms and distances in Å follow each position.
Fractional positions:
Nd1 0.2493 0.2493 0.2493  6 Tm 3.54-3.57, 6 Ho 3.55-3.58
Nd2 0.7507 0.7507 0.7507  6 Tm 3.54-3.57, 6 Ho 3.55-3.58
Ho1 0.2485 0.7515 0.5000  2 Tm 3.18, 2 Nd 3.55
Ho2 0.5000 0.2485 0.7515  2 Tm 3.18, 2 Nd 3.55
Ho3 0.7515 0.5000 0.2485  2 Tm 3.18, 2 Nd 3.55
Tm1 0.0000 0.2481 0.7519  2 Ho 3.18, 2 Nd 3.54
Tm2 0.2481 0.7519 0.0000  2 Ho 3.18, 2 Nd 3.54
Tm3 0.7519 0.0000 0.2481  2 Ho 3.18, 2 Nd 3.54

Values from the calculation:
SG ... No. 155
E_form ... 0.234 eV/atom
Total moment ... 0.00 μB per cell
E ... -34.81 eV for the cell shown


[2]
NdHo3Tm4: optimized geometry, PBE-GGA.

Cell lengths 11.1733, 7.2161, 6.2290 Å; angles 90.00, 90.00, 90.00 degrees
Closest atoms and distances in Å follow each position.
Fractional positions:
Nd1 0.0000 0.1265 0.0000  6 Ho 3.48-3.61, 6 Tm 3.50-3.63
Nd2 0.5000 0.8735 0.5000  6 Ho 3.48-3.61, 6 Tm 3.50-3.63
Ho1 0.0000 0.8729 0.4997  6 Tm 3.47-3.64, 4 Ho 3.49-3.50, 2 Nd 3.61
Ho2 0.2500 0.1272 0.3344  6 Tm 3.48-3.64, 2 Nd 3.48-3.50, 4 Ho 3.49-3.62
Ho3 0.2500 0.8728 0.8344  6 Tm 3.48-3.64, 2 Nd 3.48-3.50, 4 Ho 3.49-3.62
Ho4 0.5000 0.1271 0.9997  6 Tm 3.47-3.64, 4 Ho 3.49-3.50, 2 Nd 3.61
Ho5 0.7500 0.1272 0.3344  6 Tm 3.48-3.64, 2 Nd 3.48-3.50, 4 Ho 3.49-3.62
Ho6 0.7500 0.8728 0.8344  6 Tm 3.48-3.64, 2 Nd 3.48-3.50, 4 Ho 3.49-3.62
Tm1 0.0000 0.3774 0.5014  6 Tm 3.45-3.59, 4 Ho 3.48-3.64, 2 Nd 3.59-3.61
Tm2 0.0000 0.6230 0.0009  6 Tm 3.46-3.59, 4 Ho 3.48-3.61, 2 Nd 3.58-3.63
Tm3 0.2482 0.6229 0.3340  6 Tm 3.45-3.58, 5 Ho 3.47-3.64, 1 Nd 3.50
Tm4 0.2518 0.3771 0.8340  6 Tm 3.45-3.58, 5 Ho 3.47-3.64, 1 Nd 3.50
Tm5 0.5000 0.3770 0.5009  6 Tm 3.46-3.59, 4 Ho 3.48-3.61, 2 Nd 3.58-3.63
Tm6 0.5000 0.6226 0.0014  6 Tm 3.45-3.59, 4 Ho 3.48-3.64, 2 Nd 3.59-3.61
Tm7 0.7482 0.3771 0.8340  6 Tm 3.45-3.58, 5 Ho 3.47-3.64, 1 Nd 3.50
Tm8 0.7518 0.6229 0.3340  6 Tm 3.45-3.58, 5 Ho 3.47-3.64, 1 Nd 3.50

Values from the calculation:
SG ... No. 31
E_form ... 0.006 eV/atom
Total moment ... 0.00 μB per cell
E ... -72.68 eV for the cell shown


[3]
NdHo8Tm6: optimized geometry, PBE-GGA.

Cell lengths 8.5441, 8.5441, 8.5441 Å; angles 63.07, 63.07, 63.07 degrees
Closest atoms and distances in Å follow each position.
Fractional positions:
Nd1 0.0000 0.0000 0.0000  6 Tm 3.42, 6 Ho 3.50
Ho1 0.1104 0.7449 0.7193  5 Ho 3.37-3.39, 3 Tm 3.37-3.74, 1 Nd 3.50
Ho2 0.2551 0.2807 0.8896  5 Ho 3.37-3.39, 3 Tm 3.37-3.74, 1 Nd 3.50
Ho3 0.2807 0.8896 0.2551  5 Ho 3.37-3.39, 3 Tm 3.37-3.74, 1 Nd 3.50
Ho4 0.4235 0.4235 0.4235  4 Ho 3.13-3.38, 3 Tm 3.32
Ho5 0.5765 0.5765 0.5765  4 Ho 3.13-3.38, 3 Tm 3.32
Ho6 0.7193 0.1104 0.7449  5 Ho 3.37-3.39, 3 Tm 3.37-3.74, 1 Nd 3.50
Ho7 0.7449 0.7193 0.1104  5 Ho 3.37-3.39, 3 Tm 3.37-3.74, 1 Nd 3.50
Ho8 0.8896 0.2551 0.2807  5 Ho 3.37-3.39, 3 Tm 3.37-3.74, 1 Nd 3.50
Tm1 0.1074 0.2343 0.5377  3 Ho 3.32-3.38, 1 Nd 3.42, 4 Tm 3.42-3.70
Tm2 0.2344 0.5377 0.1074  3 Ho 3.32-3.38, 1 Nd 3.42, 4 Tm 3.42-3.70
Tm3 0.4623 0.8926 0.7657  3 Ho 3.32-3.38, 1 Nd 3.42, 4 Tm 3.42-3.70
Tm4 0.5377 0.1074 0.2343  3 Ho 3.32-3.38, 1 Nd 3.42, 4 Tm 3.42-3.70
Tm5 0.7657 0.4623 0.8926  3 Ho 3.32-3.38, 1 Nd 3.42, 4 Tm 3.42-3.70
Tm6 0.8926 0.7657 0.4623  3 Ho 3.32-3.38, 1 Nd 3.42, 4 Tm 3.42-3.70

Values from the calculation:
SG ... No. 148
E_form ... 0.139 eV/atom
Total moment ... 0.00 μB per cell
E ... -66.13 eV for the cell shown


[4]
Nd3Ho12Tm: optimized geometry, PBE-GGA.

Cell lengths 5.0209, 5.0209, 20.0888 Å; angles 90.00, 90.00, 90.00 degrees
Closest atoms and distances in Å follow each position.
Fractional positions:
Nd1 0.0000 0.0000 0.0000  12 Ho 3.55-3.56
Nd2 0.0000 0.0000 0.2508  12 Ho 3.55-3.57
Nd3 0.0000 0.0000 0.7492  12 Ho 3.55-3.57
Ho1 0.0000 0.5000 0.1257  8 Ho 3.55-3.57, 4 Nd 3.55-3.56
Ho2 0.0000 0.5000 0.3772  8 Ho 3.52-3.56, 2 Tm 3.52, 2 Nd 3.57
Ho3 0.0000 0.5000 0.6228  8 Ho 3.52-3.56, 2 Tm 3.52, 2 Nd 3.57
Ho4 0.0000 0.5000 0.8744  8 Ho 3.55-3.57, 4 Nd 3.55-3.56
Ho5 0.5000 0.0000 0.1257  8 Ho 3.55-3.57, 4 Nd 3.55-3.56
Ho6 0.5000 0.0000 0.3772  8 Ho 3.52-3.56, 2 Tm 3.52, 2 Nd 3.57
Ho7 0.5000 0.0000 0.6228  8 Ho 3.52-3.56, 2 Tm 3.52, 2 Nd 3.57
Ho8 0.5000 0.0000 0.8744  8 Ho 3.55-3.57, 4 Nd 3.55-3.56
Ho9 0.5000 0.5000 0.0000  4 Nd 3.55, 8 Ho 3.56
Ho10 0.5000 0.5000 0.2517  4 Nd 3.55, 8 Ho 3.56-3.57
Ho11 0.5000 0.5000 0.5000  8 Ho 3.52, 4 Tm 3.55
Ho12 0.5000 0.5000 0.7483  4 Nd 3.55, 8 Ho 3.56-3.57
Tm1 0.0000 0.0000 0.5000  12 Ho 3.52-3.55

Values from the calculation:
SG ... No. 123
E_form ... 0.022 eV/atom
Total moment ... 0.00 μB per cell
E ... -73.35 eV for the cell shown


[5]
Nd9Ho2Tm: optimized geometry, PBE-GGA.

Cell lengths 5.1444, 5.1444, 15.4343 Å; angles 90.00, 90.00, 90.00 degrees
Closest atoms and distances in Å follow each position.
Fractional positions:
Nd1 0.0000 0.0000 0.0000  8 Nd 3.63, 4 Tm 3.64
Nd2 0.0000 0.0000 0.3330  4 Ho 3.64, 8 Nd 3.64
Nd3 0.0000 0.0000 0.6670  4 Ho 3.64, 8 Nd 3.64
Nd4 0.0000 0.5000 0.1662  8 Nd 3.63-3.64, 2 Tm 3.63, 2 Ho 3.64
Nd5 0.0000 0.5000 0.5000  8 Nd 3.64, 4 Ho 3.64
Nd6 0.0000 0.5000 0.8338  8 Nd 3.63-3.64, 2 Tm 3.63, 2 Ho 3.64
Nd7 0.5000 0.0000 0.1662  8 Nd 3.63-3.64, 2 Tm 3.63, 2 Ho 3.64
Nd8 0.5000 0.0000 0.5000  8 Nd 3.64, 4 Ho 3.64
Nd9 0.5000 0.0000 0.8338  8 Nd 3.63-3.64, 2 Tm 3.63, 2 Ho 3.64
Ho1 0.5000 0.5000 0.3330  12 Nd 3.64
Ho2 0.5000 0.5000 0.6670  12 Nd 3.64
Tm1 0.5000 0.5000 0.0000  12 Nd 3.63-3.64

Values from the calculation:
SG ... No. 123
E_form ... 0.015 eV/atom
Total moment ... 0.00 μB per cell
E ... -56.36 eV for the cell shown


[6]
Nd5HoTm2: optimized geometry, PBE-GGA.

Cell lengths 9.0911, 9.0911, 9.0911 Å; angles 118.97, 118.97, 91.80 degrees
Closest atoms and distances in Å follow each position.
Fractional positions:
Nd1 0.0000 0.0000 0.0000  2 Ho 3.16, 4 Tm 3.54
Nd2 0.0136 0.5136 0.1998  3 Tm 3.38-3.43, 3 Nd 3.40-3.53, 2 Ho 3.68
Nd3 0.1862 0.9864 0.5000  3 Tm 3.38-3.43, 3 Nd 3.40-3.53, 2 Ho 3.68
Nd4 0.3138 0.8138 0.8002  3 Tm 3.38-3.43, 3 Nd 3.40-3.53, 2 Ho 3.68
Nd5 0.4864 0.6862 0.5000  3 Tm 3.38-3.43, 3 Nd 3.40-3.53, 2 Ho 3.68
Nd6 0.5000 0.5000 0.0000  2 Ho 3.16, 4 Tm 3.54
Nd7 0.5136 0.3138 0.5000  3 Tm 3.38-3.43, 3 Nd 3.40-3.53, 2 Ho 3.68
Nd8 0.6862 0.1862 0.1998  3 Tm 3.38-3.43, 3 Nd 3.40-3.53, 2 Ho 3.68
Nd9 0.8138 0.0136 0.5000  3 Tm 3.38-3.43, 3 Nd 3.40-3.53, 2 Ho 3.68
Nd10 0.9864 0.4864 0.8002  3 Tm 3.38-3.43, 3 Nd 3.40-3.53, 2 Ho 3.68
Ho1 0.2500 0.2500 0.0000  2 Nd 3.16
Ho2 0.7500 0.7500 0.0000  2 Nd 3.16
Tm1 0.1457 0.3543 0.5000  8 Nd 3.38-3.54
Tm2 0.3543 0.8543 0.2087  8 Nd 3.38-3.54
Tm3 0.6457 0.1457 0.7913  8 Nd 3.38-3.54
Tm4 0.8543 0.6457 0.5000  8 Nd 3.38-3.54

Values from the calculation:
SG ... No. 140
E_form ... 0.116 eV/atom
Total moment ... 0.71 μB per cell
E ... -72.86 eV for the cell shown


[7]
NdHo2Tm: optimized geometry, PBE-GGA.

Cell lengths 3.5519, 3.5519, 10.0747 Å; angles 90.00, 90.00, 90.00 degrees
Closest atoms and distances in Å follow each position.
Fractional positions:
Nd1 0.0000 0.0000 0.0000  4 Nd 3.55, 8 Ho 3.60
Ho1 0.5000 0.5000 0.2563  4 Tm 3.51, 4 Ho 3.55, 4 Nd 3.60
Ho2 0.5000 0.5000 0.7437  4 Tm 3.51, 4 Ho 3.55, 4 Nd 3.60
Tm1 0.0000 0.0000 0.5000  8 Ho 3.51, 4 Tm 3.55

Values from the calculation:
SG ... No. 123
E_form ... 0.026 eV/atom
Total moment ... 0.00 μB per cell
E ... -18.29 eV for the cell shown


[8]
Nd2Ho5Tm5: optimized geometry, PBE-GGA.

Cell lengths 7.9050, 7.9050, 11.1756 Å; angles 115.09, 115.09, 36.84 degrees
Closest atoms and distances in Å follow each position.
Fractional positions:
Nd1 0.0830 0.0830 0.2488  7 Ho 3.53-3.55, 5 Tm 3.54-3.55
Nd2 0.9170 0.9170 0.7512  7 Ho 3.53-3.55, 5 Tm 3.54-3.55
Ho1 0.3338 0.3338 0.4999  4 Ho 3.52-3.55, 5 Tm 3.53-3.55, 3 Nd 3.54-3.55
Ho2 0.4152 0.4152 0.2495  7 Tm 3.50-3.54, 3 Ho 3.52-3.55, 2 Nd 3.55
Ho3 0.5000 0.5000 0.0000  4 Nd 3.53, 2 Ho 3.55, 6 Tm 3.55
Ho4 0.5848 0.5848 0.7505  7 Tm 3.50-3.54, 3 Ho 3.52-3.55, 2 Nd 3.55
Ho5 0.6662 0.6662 0.5001  4 Ho 3.52-3.55, 5 Tm 3.53-3.55, 3 Nd 3.54-3.55
Tm1 0.0000 0.0000 0.5000  2 Tm 3.52, 8 Ho 3.53-3.54, 2 Nd 3.54
Tm2 0.1681 0.1681 0.0001  5 Ho 3.50-3.55, 5 Tm 3.51-3.53, 2 Nd 3.54
Tm3 0.2486 0.2486 0.7498  6 Ho 3.51-3.55, 4 Tm 3.51-3.53, 2 Nd 3.55
Tm4 0.7514 0.7514 0.2502  6 Ho 3.51-3.55, 4 Tm 3.51-3.53, 2 Nd 3.55
Tm5 0.8319 0.8319 0.9999  5 Ho 3.50-3.55, 5 Tm 3.51-3.53, 2 Nd 3.54

Values from the calculation:
SG ... No. 12
E_form ... 0.025 eV/atom
Total moment ... 0.00 μB per cell
E ... -54.49 eV for the cell shown


[9]
Nd4Ho10Tm: optimized geometry, PBE-GGA.

Cell lengths 8.8958, 8.8958, 8.8958 Å; angles 101.44, 101.44, 127.10 degrees
Closest atoms and distances in Å follow each position.
Fractional positions:
Nd1 0.2279 0.2279 0.4558  8 Ho 3.47-3.55, 1 Tm 3.63
Nd2 0.2279 0.7721 0.0000  8 Ho 3.47-3.55, 1 Tm 3.63
Nd3 0.7721 0.2279 0.0000  8 Ho 3.47-3.55, 1 Tm 3.63
Nd4 0.7721 0.7721 0.5442  8 Ho 3.47-3.55, 1 Tm 3.63
Ho1 0.0848 0.2930 0.7918  4 Ho 3.28-3.32, 1 Tm 3.30, 4 Nd 3.47-3.55
Ho2 0.2500 0.7500 0.5000  4 Ho 3.30
Ho3 0.2930 0.0848 0.7918  4 Ho 3.28-3.32, 1 Tm 3.30, 4 Nd 3.47-3.55
Ho4 0.2930 0.5012 0.2082  4 Ho 3.28-3.32, 1 Tm 3.30, 4 Nd 3.47-3.55
Ho5 0.4988 0.7070 0.7918  4 Ho 3.28-3.32, 1 Tm 3.30, 4 Nd 3.47-3.55
Ho6 0.5012 0.2930 0.2082  4 Ho 3.28-3.32, 1 Tm 3.30, 4 Nd 3.47-3.55
Ho7 0.7070 0.4988 0.7918  4 Ho 3.28-3.32, 1 Tm 3.30, 4 Nd 3.47-3.55
Ho8 0.7070 0.9152 0.2082  4 Ho 3.28-3.32, 1 Tm 3.30, 4 Nd 3.47-3.55
Ho9 0.7500 0.2500 0.5000  4 Ho 3.30
Ho10 0.9152 0.7070 0.2082  4 Ho 3.28-3.32, 1 Tm 3.30, 4 Nd 3.47-3.55
Tm1 0.0000 0.0000 0.0000  8 Ho 3.30, 4 Nd 3.63

Values from the calculation:
SG ... No. 139
E_form ... 0.269 eV/atom
Total moment ... 0.00 μB per cell
E ... -65.29 eV for the cell shown


[10]
Nd3Ho7Tm: optimized geometry, PBE-GGA.

Cell lengths 7.0484, 7.0484, 8.6560 Å; angles 90.00, 90.00, 120.00 degrees
Closest atoms and distances in Å follow each position.
Fractional positions:
Nd1 0.0001 0.5001 0.0000  4 Nd 3.52-3.53, 5 Ho 3.56-3.58, 1 Tm 3.57
Nd2 0.4999 0.9999 0.0000  4 Nd 3.52-3.53, 5 Ho 3.56-3.58, 1 Tm 3.57
Nd3 0.4999 0.5001 0.0000  4 Nd 3.52-3.53, 5 Ho 3.56-3.58, 1 Tm 3.57
Ho1 0.1675 0.3350 0.3387  1 Tm 3.45, 8 Ho 3.47-3.54, 2 Nd 3.57
Ho2 0.1675 0.8325 0.3387  1 Tm 3.45, 8 Ho 3.47-3.54, 2 Nd 3.57
Ho3 0.3349 0.1675 0.6624  7 Ho 3.45-3.54, 2 Tm 3.52, 2 Nd 3.56
Ho4 0.6650 0.8325 0.3387  1 Tm 3.45, 8 Ho 3.47-3.54, 2 Nd 3.57
Ho5 0.6667 0.3333 0.3396  9 Ho 3.45-3.52, 3 Nd 3.58
Ho6 0.8325 0.1675 0.6624  7 Ho 3.45-3.54, 2 Tm 3.52, 2 Nd 3.56
Ho7 0.8325 0.6651 0.6624  7 Ho 3.45-3.54, 2 Tm 3.52, 2 Nd 3.56
Tm1 0.3333 0.6667 0.6608  9 Ho 3.45-3.52, 3 Nd 3.57

Values from the calculation:
SG ... No. 156
E_form ... 0.175 eV/atom
Total moment ... 0.00 μB per cell
E ... -48.90 eV for the cell shown